The following is a PBE calculation of CdSn3Br8 after structural relaxation, from the Alexandria database.

Geometry as CIF:
```
data_CdSn3Br8
_space_group_name_H-M_alt 'C 2 2 2'
_space_group_IT_number 21
_space_group_name_Hall 'C 2 2'
_cell_length_a 8.379
_cell_length_b 12.555
_cell_length_c 8.500
_cell_angle_alpha 90.00
_cell_angle_beta 90.00
_cell_angle_gamma 90.00
loop_
_atom_site_label
_atom_site_fract_x
_atom_site_fract_y
_atom_site_fract_z
Cd1 0.000 0.000 0.000
Sn1 0.000 0.000 0.500
Sn2 0.250 0.250 0.248
Br1 0.000 0.224 0.000
Br2 0.000 0.241 0.500
Br3 0.241 0.011 0.236
```

Results
Total magnetic moment in μB/f.u.: 0.000
DFT total energy in eV per atom: -2.96

The following is a PBE calculation of Cd5Sn3Br16 after structural relaxation, from the Alexandria database.

Geometry as CIF:
```
data_Cd5Sn3Br16
_space_group_name_H-M_alt 'C 1 m 1'
_space_group_IT_number 8
_space_group_name_Hall 'C -2y'
_cell_length_a 14.776
_cell_length_b 8.381
_cell_length_c 13.064
_cell_angle_alpha 90.00
_cell_angle_beta 90.92
_cell_angle_gamma 90.00
loop_
_atom_site_label
_atom_site_fract_x
_atom_site_fract_y
_atom_site_fract_z
Cd1 0.000 0.000 0.000
Cd2 0.010 0.500 0.241
Cd3 0.088 0.253 0.505
Cd4 0.342 0.500 0.733
Sn1 0.255 0.251 0.004
Sn2 0.343 0.000 0.503
Br1 0.006 0.000 0.620
Br2 0.017 0.500 0.626
Br3 0.082 0.249 0.122
Br4 0.155 0.000 0.882
Br5 0.159 0.500 0.376
Br6 0.163 0.000 0.392
Br7 0.183 0.500 0.866
Br8 0.251 0.257 0.625
Br9 0.345 0.000 0.139
Br10 0.352 0.500 0.129
Br11 0.417 0.270 0.867
Br12 0.436 0.239 0.373
```

Results
Total magnetic moment in μB/f.u.: 0.000
DFT total energy in eV per atom: -2.60

The following is a PBE calculation of Cd3SnBr8 after structural relaxation, from the Alexandria database.

Geometry as CIF:
```
data_Cd3SnBr8
_space_group_name_H-M_alt 'C 1 2/m 1'
_space_group_IT_number 12
_space_group_name_Hall '-C 2y'
_cell_length_a 14.374
_cell_length_b 8.304
_cell_length_c 8.396
_cell_angle_alpha 90.00
_cell_angle_beta 125.50
_cell_angle_gamma 90.00
loop_
_atom_site_label
_atom_site_fract_x
_atom_site_fract_y
_atom_site_fract_z
Cd1 0.000 0.000 0.000
Cd2 0.250 0.250 0.000
Sn1 0.000 0.500 0.000
Br1 0.008 0.236 0.765
Br2 0.244 0.000 0.227
Br3 0.245 0.000 0.766
```

Results
Total magnetic moment in μB/f.u.: 0.000
DFT total energy in eV per atom: -2.50

The following is a PBE calculation of CdSnBr2 after structural relaxation, from the Alexandria database.

Geometry as CIF:
```
data_CdSnBr2
_space_group_name_H-M_alt 'F m -3 m'
_space_group_IT_number 225
_space_group_name_Hall '-F 4 2 3'
_cell_length_a 7.695
_cell_length_b 7.695
_cell_length_c 7.695
_cell_angle_alpha 90.00
_cell_angle_beta 90.00
_cell_angle_gamma 90.00
loop_
_atom_site_label
_atom_site_fract_x
_atom_site_fract_y
_atom_site_fract_z
Cd1 0.000 0.000 0.000
Sn1 0.000 0.000 0.500
Br1 0.250 0.250 0.250
```

Results
Total magnetic moment in μB/f.u.: 0.000
DFT total energy in eV per atom: -2.30

The following is a PBE calculation of CdSnBr2 after structural relaxation, from the Alexandria database.

Geometry as CIF:
```
data_CdSnBr2
_space_group_name_H-M_alt 'R -3 m'
_space_group_IT_number 166
_space_group_name_Hall '-R 3 2"'
_cell_length_a 4.2838
_cell_length_b 4.2838
_cell_length_c 33.1317
_cell_angle_alpha 90.00
_cell_angle_beta 90.00
_cell_angle_gamma 120.00
loop_
_atom_site_label
_atom_site_fract_x
_atom_site_fract_y
_atom_site_fract_z
Cd1 0.0000 0.0000 0.0000
Sn1 0.0000 0.0000 0.5000
Br1 0.0000 0.0000 0.1144
```

Results
Total magnetic moment in μB/f.u.: 0.000
DFT total energy in eV per atom: -2.47

The following is a PBE calculation of CdSnBr4 after structural relaxation, from the Alexandria database.

Geometry as CIF:
```
data_CdSnBr4
_space_group_name_H-M_alt 'P 1 2/m 1'
_space_group_IT_number 10
_space_group_name_Hall '-P 2y'
_cell_length_a 6.857
_cell_length_b 4.185
_cell_length_c 7.417
_cell_angle_alpha 90.00
_cell_angle_beta 91.53
_cell_angle_gamma 90.00
loop_
_atom_site_label
_atom_site_fract_x
_atom_site_fract_y
_atom_site_fract_z
Cd1 0.000 0.000 0.000
Sn1 0.000 0.500 0.500
Br1 0.229 0.500 0.854
Br2 0.241 0.000 0.317
```

Results
Total magnetic moment in μB/f.u.: 0.000
DFT total energy in eV per atom: -2.73

The following is a PBE calculation of SrCdSnBr6 after structural relaxation, from the Alexandria database.

Geometry as CIF:
```
data_SrCdSnBr6
_space_group_name_H-M_alt 'P 42 n m'
_space_group_IT_number 102
_space_group_name_Hall 'P 4n -2n'
_cell_length_a 6.971
_cell_length_b 6.971
_cell_length_c 13.392
_cell_angle_alpha 90.00
_cell_angle_beta 90.00
_cell_angle_gamma 90.00
loop_
_atom_site_label
_atom_site_fract_x
_atom_site_fract_y
_atom_site_fract_z
Sr1 0.000 0.000 0.000
Cd1 0.000 0.000 0.667
Sn1 0.000 0.000 0.331
Br1 0.188 0.188 0.508
Br2 0.194 0.194 0.820
Br3 0.208 0.208 0.169
```

Results
Total magnetic moment in μB/f.u.: 0.000
DFT total energy in eV per atom: -3.06

The following is a PBE calculation of TaCdSnBr after structural relaxation, from the Alexandria database.

Geometry as CIF:
```
data_TaCdSnBr
_space_group_name_H-M_alt 'A m m 2'
_space_group_IT_number 38
_space_group_name_Hall 'A 2 -2'
_cell_length_a 3.108
_cell_length_b 4.846
_cell_length_c 13.697
_cell_angle_alpha 90.00
_cell_angle_beta 90.00
_cell_angle_gamma 90.00
loop_
_atom_site_label
_atom_site_fract_x
_atom_site_fract_y
_atom_site_fract_z
Ta1 0.000 0.000 0.000
Cd1 0.500 0.000 0.811
Sn1 0.500 0.000 0.472
Br1 0.500 0.000 0.161
```

Results
Total magnetic moment in μB/f.u.: 0.004
DFT total energy in eV per atom: -4.51

The following is a PBE calculation of TaCdSnBr after structural relaxation, from the Alexandria database.

Geometry as CIF:
```
data_TaCdSnBr
_space_group_name_H-M_alt 'P 1'
_space_group_IT_number 1
_space_group_name_Hall 'P 1'
_cell_length_a 3.206
_cell_length_b 3.207
_cell_length_c 11.242
_cell_angle_alpha 97.12
_cell_angle_beta 90.17
_cell_angle_gamma 119.99
loop_
_atom_site_label
_atom_site_fract_x
_atom_site_fract_y
_atom_site_fract_z
Ta1 0.000 0.000 0.000
Cd1 0.485 0.960 0.495
Sn1 0.399 0.793 0.218
Br1 0.282 0.567 0.830
```

Results
Total magnetic moment in μB/f.u.: 0.000
DFT total energy in eV per atom: -4.67

The following is a PBE calculation of TaCdSnBr after structural relaxation, from the Alexandria database.

Geometry as CIF:
```
data_TaCdSnBr
_space_group_name_H-M_alt 'C 1 m 1'
_space_group_IT_number 8
_space_group_name_Hall 'C -2y'
_cell_length_a 14.492
_cell_length_b 3.125
_cell_length_c 4.844
_cell_angle_alpha 90.00
_cell_angle_beta 107.95
_cell_angle_gamma 90.00
loop_
_atom_site_label
_atom_site_fract_x
_atom_site_fract_y
_atom_site_fract_z
Ta1 0.000 0.000 0.000
Cd1 0.318 0.000 0.888
Sn1 0.499 0.000 0.510
Br1 0.186 0.000 0.257
```

Results
Total magnetic moment in μB/f.u.: 0.000
DFT total energy in eV per atom: -4.54

The following is a PBE calculation of TaCdSnBr after structural relaxation, from the Alexandria database.

Geometry as CIF:
```
data_TaCdSnBr
_space_group_name_H-M_alt 'C 1 m 1'
_space_group_IT_number 8
_space_group_name_Hall 'C -2y'
_cell_length_a 13.745
_cell_length_b 4.959
_cell_length_c 3.086
_cell_angle_alpha 90.00
_cell_angle_beta 90.16
_cell_angle_gamma 90.00
loop_
_atom_site_label
_atom_site_fract_x
_atom_site_fract_y
_atom_site_fract_z
Ta1 0.000 0.000 0.000
Cd1 0.308 0.500 0.497
Sn1 0.181 0.000 0.502
Br1 0.481 0.000 0.000
```

Results
Total magnetic moment in μB/f.u.: 0.000
DFT total energy in eV per atom: -4.40